[1]
The following is a PBEsol calculation of a relaxed CdRh2Au crystal, from Alexandria.

Lattice parameters (Å, degrees): 3.967 3.967 7.883 90.00 90.00 90.00
Space group I-4m2 (No. 119)
One atom of each set of equivalent atoms:
Cd 0.000 0.000 0.000 [2 per cell]
Rh 0.000 0.000 0.500 [2 per cell]
Rh 0.000 0.500 0.250 [2 per cell]
Au 0.000 0.500 0.750 [2 per cell]

Computed properties:
For the total energy, the calculation gives -5.28 eV/atom. For the calculated density, the calculation gives 13.79 Mg/m³. The calculation puts the calculated formation energy at 0.073 eV/atom. As for the density of states at the Fermi level: 8.72 states/eV per cell. For the volume, the calculation gives 15.51 A^3/atom.

[2]
The following is a PBEsol calculation of a relaxed CdRh2Au crystal, from Alexandria.

Lattice parameters (Å, degrees): 2.805 2.805 7.911 90.00 90.00 90.00
Space group P4mm (No. 99)
One atom of each set of equivalent atoms:
Cd 0.000 0.000 0.000 [1 per cell]
Rh 0.000 0.000 0.469 [1 per cell]
Rh 0.500 0.500 0.256 [1 per cell]
Au 0.500 0.500 0.724 [1 per cell]

Computed properties:
For the total energy, the calculation gives -5.35 eV/atom. For the calculated density, the calculation gives 13.74 Mg/m³. The calculation puts the calculated formation energy at 0.002 eV/atom. As for the density of states at the Fermi level: 3.94 states/eV per cell. For the volume, the calculation gives 15.56 A^3/atom.